(1)
# V2BiPt2

Crystalline V2BiPt2 at its relaxed geometry (PBE, the Alexandria database).

Results
- Fermi-level density of states (states/eV/cell) = 10.08
- magnetization (μB/cell) = 0.00
- total DFT energy (no corrections) (eV per cell) = -68.93
- E above lowest polymorph (kJ/mol of formula units) = 22.4

a b c (Å): 7.750 7.750 2.876
angles (deg): 90.00 90.00 90.00
Atoms (fractional coordinates):
1 V 0.161 0.339 0.000
2 V 0.339 0.839 0.000
3 V 0.661 0.161 0.000
4 V 0.839 0.661 0.000
5 Bi 0.000 0.000 0.000
6 Bi 0.500 0.500 0.000
7 Pt 0.130 0.630 0.500
8 Pt 0.370 0.130 0.500
9 Pt 0.630 0.870 0.500
10 Pt 0.870 0.370 0.500



(2)
# Ce2NdPaN4

Crystalline Ce2NdPaN4 at its relaxed geometry (PBE, the Alexandria database).

Results
- Fermi-level density of states (states/eV/cell) = 7.23
- magnetization (μB/cell) = 0.58
- total DFT energy (no corrections) (eV per cell) = -71.69
- formation energy (no corrections) (eV per atom) = -1.53

a b c (Å): 6.181 3.575 6.193
angles (deg): 90.00 109.37 90.00
Atoms (fractional coordinates):
1 Ce 0.000 0.000 0.000
2 Ce 0.500 0.500 0.000
3 Nd 0.000 0.500 0.500
4 Pa 0.500 0.000 0.500
5 N 0.274 0.000 0.746
6 N 0.275 0.500 0.267
7 N 0.725 0.500 0.733
8 N 0.726 0.000 0.254



(3)
# Mn5Ni2H12

Crystalline Mn5Ni2H12 at its relaxed geometry (PBE, the Alexandria database).

Results
- Fermi-level density of states (states/eV/cell) = 4.80
- magnetization (μB/cell) = 15.46
- total DFT energy (no corrections) (eV per cell) = -96.89

a b c (Å): 5.477 5.477 5.603
angles (deg): 103.90 103.90 52.92
Atoms (fractional coordinates):
1 Mn 0.000 0.000 0.000
2 Mn 0.296 0.296 0.138
3 Mn 0.297 0.297 0.659
4 Mn 0.703 0.703 0.341
5 Mn 0.704 0.704 0.862
6 Ni 0.251 0.749 0.500
7 Ni 0.749 0.251 0.500
8 H 0.030 0.030 0.332
9 H 0.101 0.586 0.929
10 H 0.106 0.535 0.400
11 H 0.414 0.899 0.071
12 H 0.465 0.894 0.600
13 H 0.494 0.494 0.279
14 H 0.506 0.506 0.721
15 H 0.535 0.106 0.400
16 H 0.586 0.101 0.929
17 H 0.894 0.465 0.600
18 H 0.899 0.414 0.071
19 H 0.970 0.970 0.668



(4)
# Dy4YHo10

Crystalline Dy4YHo10 at its relaxed geometry (PBE, the Alexandria database).

Results
- Fermi-level density of states (states/eV/cell) = 15.55
- magnetization (μB/cell) = 0.00
- total DFT energy (no corrections) (eV per cell) = -59.59

a b c (Å): 9.373 9.373 9.373
angles (deg): 99.58 99.58 131.86
Atoms (fractional coordinates):
1 Dy 0.100 0.300 0.400
2 Dy 0.300 0.900 0.199
3 Dy 0.700 0.100 0.801
4 Dy 0.900 0.700 0.600
5 Y 0.500 0.500 0.000
6 Ho 0.048 0.149 0.699
7 Ho 0.149 0.450 0.101
8 Ho 0.250 0.750 0.500
9 Ho 0.349 0.048 0.899
10 Ho 0.450 0.349 0.301
11 Ho 0.550 0.651 0.699
12 Ho 0.651 0.952 0.101
13 Ho 0.750 0.250 0.500
14 Ho 0.851 0.550 0.899
15 Ho 0.952 0.851 0.301



What is the Fermi-level density of states in the third record? 4.80 states/eV/cell